(P)
{"formula": "ZrTcSb", "functional": "PBE-GGA", "state": "optimized geometry", "dos_ef_per_ev_atom": 1.013, "lattice_angstrom": [[-3.256, 2.467, -2.154], [-4.317, -1.616, -0.276], [-3.374, 1.999, 2.439]], "species": ["Sb", "Tc", "Zr"], "fractional_positions": [[0.000, 0.000, 0.000], [0.500, 0.500, 0.500], [0.750, 0.750, 0.750]]}

(Q)
{"formula": "ZrTcSb", "functional": "PBE-GGA", "state": "optimized geometry", "dos_ef_per_ev_atom": 0.652, "lattice_angstrom": [[5.836, 0.001, -0.001], [4.902, 3.165, 0.001], [0.933, 0.272, 3.153]], "species": ["Sb", "Tc", "Zr"], "fractional_positions": [[0.979, 0.979, 0.021], [0.341, 0.341, 0.659], [0.680, 0.680, 0.320]]}

(R)
{"formula": "ZrTcSb", "functional": "PBE-GGA", "state": "optimized geometry", "dos_ef_per_ev_atom": 0.907, "lattice_angstrom": [[4.587, 0.000, 0.000], [-2.293, 3.972, 0.000], [0.000, 0.000, 3.240]], "species": ["Sb", "Tc", "Zr"], "fractional_positions": [[0.000, 0.000, 0.163], [0.667, 0.333, 0.209], [0.333, 0.667, 0.628]]}

What should be chosen as the most stable of them? Choose (R).